A plane-wave DFT calculation with GGA-PBE was carried out for crystalline HoSc7 at its relaxed geometry.

Cell and atoms, written as POSCAR:
```
HoSc7
1.0
-1.054 1.888 2.442
-4.074 -5.317 4.529
5.422 -1.624 5.774
Ho Sc
1 7
direct
0.000 0.000 0.000
0.744 0.755 0.755
0.256 0.245 0.245
0.000 0.500 0.500
0.634 0.597 0.136
0.366 0.403 0.864
0.366 0.864 0.403
0.634 0.136 0.597
```

Values from the calculation:
relative energy among the computed polymorphs	0	meV per atom
symmetry	Immm